A plane-wave DFT calculation with PBE with a Hubbard U was carried out for a geometry-optimized KMoBrF2 structure.

Structure (extended XYZ):
```
5
Lattice="4.616 0.000 0.000 0.000 4.616 0.000 0.000 0.000 5.917" Properties=species:S:1:pos:R:3 pbc="T T T"
K 0.000 0.000 0.000
Mo 2.308 2.308 2.958
Br 0.000 0.000 2.958
F 0.000 2.308 0.000
F 2.308 0.000 0.000
```

## Properties
The value obtained for the raw total energy is -0.2601 Ry per atom. Its space-group type is No. 123. The total magnetization comes out at 4.0 μB/cell.